This record from Alexandria via LeMat-Bulk describes a relaxed structure of ReTc3H. The functional is GGA-PBEsol.

The structure in CIF format:
```
data_ReTc3H
_chemical_formula_sum 'Re1 Tc3 H1'
_cell_length_a 4.652
_cell_length_b 4.652
_cell_length_c 4.652
_cell_angle_alpha 90.00
_cell_angle_beta 90.00
_cell_angle_gamma 90.00
_space_group_name_H-M_alt 'P m -3 m'
_space_group_IT_number 221
_space_group_name_Hall '-P 4 2 3'
loop_
_atom_site_label
_atom_site_fract_x
_atom_site_fract_y
_atom_site_fract_z
Re1 0.000 0.000 0.000
Tc1 0.000 0.000 0.500
H1 0.500 0.500 0.500
```

Calculated values
Crystal system: cubic
Uncorrected energy (eV/atom): -7.55

---

This record from Alexandria via LeMat-Bulk describes a relaxed structure of ReTc2H. The functional is GGA-PBEsol.

The structure in CIF format:
```
data_ReTc2H
_chemical_formula_sum 'Re4 Tc8 H4'
_cell_length_a 5.861
_cell_length_b 5.861
_cell_length_c 5.861
_cell_angle_alpha 90.00
_cell_angle_beta 90.00
_cell_angle_gamma 90.00
_space_group_name_H-M_alt 'F m -3 m'
_space_group_IT_number 225
_space_group_name_Hall '-F 4 2 3'
loop_
_atom_site_label
_atom_site_fract_x
_atom_site_fract_y
_atom_site_fract_z
Re1 0.000 0.000 0.000
Tc1 0.250 0.250 0.250
H1 0.000 0.000 0.500
```

Calculated values
Crystal system: cubic
Uncorrected energy (eV/atom): -9.12

---

This record from Alexandria via LeMat-Bulk describes a relaxed structure of Re2TcH. The functional is GGA-PBEsol.

The structure in CIF format:
```
data_Re2TcH
_chemical_formula_sum 'Re8 Tc4 H4'
_cell_length_a 5.878
_cell_length_b 5.878
_cell_length_c 5.878
_cell_angle_alpha 90.00
_cell_angle_beta 90.00
_cell_angle_gamma 90.00
_space_group_name_H-M_alt 'F m -3 m'
_space_group_IT_number 225
_space_group_name_Hall '-F 4 2 3'
loop_
_atom_site_label
_atom_site_fract_x
_atom_site_fract_y
_atom_site_fract_z
Re1 0.250 0.250 0.250
Tc1 0.000 0.000 0.000
H1 0.000 0.000 0.500
```

Calculated values
Crystal system: cubic
Uncorrected energy (eV/atom): -9.45